# CoNi2Hg2O6, optimized geometry, DFT PBE+U
# **DFT total energy**: -92.13 eV/cell
# **Magnetization**: 0.00 μB per formula unit
data_CoNi2Hg2O6
_chemical_formula_sum 'Co2 Ni4 Hg4 O12'
_space_group_name_H-M_alt 'C 1 2/m 1'
_space_group_IT_number 12
_cell_length_a 4.8783
_cell_length_b 8.4784
_cell_length_c 7.1213
_cell_angle_alpha 90.00
_cell_angle_beta 95.55
_cell_angle_gamma 90.00
loop_
_space_group_symop_operation_xyz
'x,y,z'
'-x,-y,-z'
'-x,y,-z'
'x,-y,z'
'x+1/2,y+1/2,z'
'-x+1/2,-y+1/2,-z'
'-x+1/2,y+1/2,-z'
'x+1/2,-y+1/2,z'
loop_
_atom_site_label
_atom_site_type_symbol
_atom_site_fract_x
_atom_site_fract_y
_atom_site_fract_z
Co1 Co 0.0000 0.0000 0.0000
Ni1 Ni 0.0000 0.3341 0.0000
Hg1 Hg 0.0000 0.1645 0.5000
O1 O 0.1827 0.5000 0.1367
O2 O 0.1870 0.1687 0.1364